Entry 1:
Density functional theory data (PBE) for an optimized crystal structure of Pm3Mg3Cd2.

Computed properties:
DOS(E_F) (states/eV/f.u.): 10.43
Energy of formation (eV/atom): -0.12

CIF file:
```
data_Pm3Mg3Cd2
_chemical_formula_sum 'Pm3 Mg3 Cd2'
_cell_length_a 8.1150
_cell_length_b 8.1150
_cell_length_c 4.0132
_cell_angle_alpha 90.00
_cell_angle_beta 90.00
_cell_angle_gamma 120.00
_space_group_name_H-M_alt 'P -6 2 m'
_space_group_IT_number 189
_space_group_name_Hall 'P -6 -2'
loop_
_atom_site_label
_atom_site_fract_x
_atom_site_fract_y
_atom_site_fract_z
Pm1 0.0000 0.5999 0.0000
Mg1 0.0000 0.2319 0.5000
Cd1 0.3333 0.6667 0.5000
```

Entry 2:
Density functional theory data (PBE) for an optimized crystal structure of Pm4Mg3Cd.

Computed properties:
DOS(E_F) (states/eV/f.u.): 10.62
Energy of formation (eV/atom): -0.16

CIF file:
```
data_Pm4Mg3Cd
_chemical_formula_sum 'Pm4 Mg3 Cd1'
_cell_length_a 3.8611
_cell_length_b 3.8611
_cell_length_c 15.3815
_cell_angle_alpha 90.00
_cell_angle_beta 90.00
_cell_angle_gamma 90.00
_space_group_name_H-M_alt 'P 4/m m m'
_space_group_IT_number 123
_space_group_name_Hall '-P 4 2'
loop_
_atom_site_label
_atom_site_fract_x
_atom_site_fract_y
_atom_site_fract_z
Pm1 0.0000 0.0000 0.1237
Pm2 0.0000 0.0000 0.3733
Mg1 0.5000 0.5000 0.2499
Mg2 0.5000 0.5000 0.5000
Cd1 0.5000 0.5000 0.0000
```

Entry 3:
Density functional theory data (PBE) for an optimized crystal structure of Pm3Mg2Cd.

Computed properties:
DOS(E_F) (states/eV/f.u.): 6.83
Energy of formation (eV/atom): -0.18

CIF file:
```
data_Pm3Mg2Cd
_chemical_formula_sum 'Pm6 Mg4 Cd2'
_cell_length_a 5.4319
_cell_length_b 16.3406
_cell_length_c 3.8581
_cell_angle_alpha 90.00
_cell_angle_beta 90.00
_cell_angle_gamma 90.00
_space_group_name_H-M_alt 'C m m m'
_space_group_IT_number 65
_space_group_name_Hall '-C 2 2'
loop_
_atom_site_label
_atom_site_fract_x
_atom_site_fract_y
_atom_site_fract_z
Pm1 0.0000 0.0000 0.0000
Pm2 0.0000 0.3344 0.0000
Mg1 0.0000 0.1696 0.5000
Cd1 0.0000 0.5000 0.5000
```

Entry 4:
Density functional theory data (PBE) for an optimized crystal structure of Pm6Mg5Cd.

Computed properties:
DOS(E_F) (states/eV/f.u.): 13.66
Energy of formation (eV/atom): -0.14

CIF file:
```
data_Pm6Mg5Cd
_chemical_formula_sum 'Pm12 Mg10 Cd2'
_cell_length_a 5.4530
_cell_length_b 16.3728
_cell_length_c 7.7102
_cell_angle_alpha 90.00
_cell_angle_beta 90.00
_cell_angle_gamma 90.00
_space_group_name_H-M_alt 'C m m m'
_space_group_IT_number 65
_space_group_name_Hall '-C 2 2'
loop_
_atom_site_label
_atom_site_fract_x
_atom_site_fract_y
_atom_site_fract_z
Pm1 0.0000 0.0000 0.2492
Pm2 0.0000 0.3339 0.2507
Mg1 0.0000 0.1671 0.5000
Mg2 0.0000 0.1693 0.0000
Mg3 0.0000 0.5000 0.5000
Cd1 0.0000 0.5000 0.0000
```

Entry 5:
Density functional theory data (PBE) for an optimized crystal structure of PmMg2Cd5.

Computed properties:
DOS(E_F) (states/eV/f.u.): 5.06
Energy of formation (eV/atom): -0.19

CIF file:
```
data_PmMg2Cd5
_chemical_formula_sum 'Pm2 Mg4 Cd10'
_cell_length_a 4.5992
_cell_length_b 4.5992
_cell_length_c 17.8599
_cell_angle_alpha 90.00
_cell_angle_beta 90.00
_cell_angle_gamma 90.00
_space_group_name_H-M_alt 'I 4/m m m'
_space_group_IT_number 139
_space_group_name_Hall '-I 4 2'
loop_
_atom_site_label
_atom_site_fract_x
_atom_site_fract_y
_atom_site_fract_z
Pm1 0.0000 0.0000 0.0000
Mg1 0.0000 0.0000 0.2455
Cd1 0.0000 0.0000 0.5000
Cd2 0.0000 0.5000 0.1326
```

Entry 6:
Density functional theory data (PBE) for an optimized crystal structure of PmMg4Cd.

Computed properties:
DOS(E_F) (states/eV/f.u.): 2.58
Energy of formation (eV/atom): -0.10

CIF file:
```
data_PmMg4Cd
_chemical_formula_sum 'Pm2 Mg8 Cd2'
_cell_length_a 8.4319
_cell_length_b 4.5009
_cell_length_c 7.9151
_cell_angle_alpha 90.00
_cell_angle_beta 90.00
_cell_angle_gamma 90.00
_space_group_name_H-M_alt 'P m m a'
_space_group_IT_number 51
_space_group_name_Hall '-P 2a 2a'
loop_
_atom_site_label
_atom_site_fract_x
_atom_site_fract_y
_atom_site_fract_z
Pm1 0.2500 0.0000 0.1294
Mg1 0.0000 0.0000 0.5000
Mg2 0.0501 0.5000 0.8138
Mg3 0.2500 0.5000 0.4463
Cd1 0.2500 0.0000 0.7290
```

Entry 7:
Density functional theory data (PBE) for an optimized crystal structure of Pm2Mg3Cd.

Computed properties:
DOS(E_F) (states/eV/f.u.): 4.04
Energy of formation (eV/atom): -0.16

CIF file:
```
data_Pm2Mg3Cd
_chemical_formula_sum 'Pm2 Mg3 Cd1'
_cell_length_a 3.3662
_cell_length_b 5.2295
_cell_length_c 9.0198
_cell_angle_alpha 90.00
_cell_angle_beta 90.00
_cell_angle_gamma 90.00
_space_group_name_H-M_alt 'P m m 2'
_space_group_IT_number 25
_space_group_name_Hall 'P 2 -2'
loop_
_atom_site_label
_atom_site_fract_x
_atom_site_fract_y
_atom_site_fract_z
Pm1 0.0000 0.0000 0.0000
Pm2 0.0000 0.5000 0.4884
Mg1 0.5000 0.0000 0.6609
Mg2 0.5000 0.5000 0.1600
Mg3 0.5000 0.5000 0.8261
Cd1 0.5000 0.0000 0.3292
```

Entry 8:
Density functional theory data (PBE) for an optimized crystal structure of PmMg4Cd5.

Computed properties:
DOS(E_F) (states/eV/f.u.): 3.60
Energy of formation (eV/atom): -0.16

CIF file:
```
data_PmMg4Cd5
_chemical_formula_sum 'Pm1 Mg4 Cd5'
_cell_length_a 3.6417
_cell_length_b 3.6417
_cell_length_c 17.2328
_cell_angle_alpha 90.00
_cell_angle_beta 90.00
_cell_angle_gamma 90.00
_space_group_name_H-M_alt 'P 4/m m m'
_space_group_IT_number 123
_space_group_name_Hall '-P 4 2'
loop_
_atom_site_label
_atom_site_fract_x
_atom_site_fract_y
_atom_site_fract_z
Pm1 0.0000 0.0000 0.0000
Mg1 0.0000 0.0000 0.2154
Mg2 0.0000 0.0000 0.4053
Cd1 0.5000 0.5000 0.1215
Cd2 0.5000 0.5000 0.3112
Cd3 0.5000 0.5000 0.5000
```

Entry 9:
Density functional theory data (PBE) for an optimized crystal structure of Pm4Mg3Cd2.

Computed properties:
DOS(E_F) (states/eV/f.u.): 10.58
Energy of formation (eV/atom): -0.16

CIF file:
```
data_Pm4Mg3Cd2
_chemical_formula_sum 'Pm8 Mg6 Cd4'
_cell_length_a 9.3177
_cell_length_b 5.3831
_cell_length_c 10.1127
_cell_angle_alpha 90.00
_cell_angle_beta 90.04
_cell_angle_gamma 90.00
_space_group_name_H-M_alt 'C 1 2/m 1'
_space_group_IT_number 12
_space_group_name_Hall '-C 2y'
loop_
_atom_site_label
_atom_site_fract_x
_atom_site_fract_y
_atom_site_fract_z
Pm1 0.0001 0.0000 0.1714
Pm2 0.1667 0.5000 0.6197
Mg1 0.0000 0.0000 0.5000
Mg2 0.1667 0.5000 0.9921
Cd1 0.1667 0.5000 0.3009
```

Entry 10:
Density functional theory data (PBE) for an optimized crystal structure of Pm4Mg3Cd5.

Computed properties:
DOS(E_F) (states/eV/f.u.): 7.71
Energy of formation (eV/atom): -0.06

CIF file:
```
data_Pm4Mg3Cd5
_chemical_formula_sum 'Pm8 Mg6 Cd10'
_cell_length_a 13.6341
_cell_length_b 5.1774
_cell_length_c 11.7894
_cell_angle_alpha 90.00
_cell_angle_beta 125.11
_cell_angle_gamma 90.00
_space_group_name_H-M_alt 'C 1 2/m 1'
_space_group_IT_number 12
_space_group_name_Hall '-C 2y'
loop_
_atom_site_label
_atom_site_fract_x
_atom_site_fract_y
_atom_site_fract_z
Pm1 0.0263 0.0000 0.2787
Pm2 0.2405 0.0000 0.7135
Mg1 0.0000 0.5000 0.0000
Mg2 0.2470 0.5000 0.9374
Cd1 0.0000 0.0000 0.0000
Cd2 0.0724 0.5000 0.6478
Cd3 0.1874 0.5000 0.4967
```

Entry 11:
Density functional theory data (PBE) for an optimized crystal structure of Pm3MgCd.

Computed properties:
DOS(E_F) (states/eV/f.u.): 5.24
Energy of formation (eV/atom): -0.10

CIF file:
```
data_Pm3MgCd
_chemical_formula_sum 'Pm12 Mg4 Cd4'
_cell_length_a 8.6642
_cell_length_b 6.9437
_cell_length_c 10.3144
_cell_angle_alpha 90.00
_cell_angle_beta 107.31
_cell_angle_gamma 90.00
_space_group_name_H-M_alt 'P 1 21/c 1'
_space_group_IT_number 14
_space_group_name_Hall '-P 2ybc'
loop_
_atom_site_label
_atom_site_fract_x
_atom_site_fract_y
_atom_site_fract_z
Pm1 0.0879 0.2491 0.3970
Pm2 0.2858 0.5029 0.6963
Pm3 0.2887 0.5035 0.1976
Mg1 0.4962 0.7504 0.4993
Cd1 0.1230 0.7498 0.4058
```

Entry 12:
Density functional theory data (PBE) for an optimized crystal structure of Pm3Mg2Cd.

Computed properties:
DOS(E_F) (states/eV/f.u.): 7.71
Energy of formation (eV/atom): -0.18

CIF file:
```
data_Pm3Mg2Cd
_chemical_formula_sum 'Pm3 Mg2 Cd1'
_cell_length_a 3.8578
_cell_length_b 3.8578
_cell_length_c 11.5219
_cell_angle_alpha 90.00
_cell_angle_beta 90.00
_cell_angle_gamma 90.00
_space_group_name_H-M_alt 'P 4/m m m'
_space_group_IT_number 123
_space_group_name_Hall '-P 4 2'
loop_
_atom_site_label
_atom_site_fract_x
_atom_site_fract_y
_atom_site_fract_z
Pm1 0.0000 0.0000 0.0000
Pm2 0.0000 0.0000 0.3345
Mg1 0.5000 0.5000 0.1653
Cd1 0.5000 0.5000 0.5000
```

Entry 13:
Density functional theory data (PBE) for an optimized crystal structure of PmMg14Cd.

Computed properties:
DOS(E_F) (states/eV/f.u.): 6.08
Energy of formation (eV/atom): 0.00

CIF file:
```
data_PmMg14Cd
_chemical_formula_sum 'Pm1 Mg14 Cd1'
_cell_length_a 6.7638
_cell_length_b 6.7638
_cell_length_c 8.3238
_cell_angle_alpha 90.00
_cell_angle_beta 90.00
_cell_angle_gamma 90.00
_space_group_name_H-M_alt 'P 4/m m m'
_space_group_IT_number 123
_space_group_name_Hall '-P 4 2'
loop_
_atom_site_label
_atom_site_fract_x
_atom_site_fract_y
_atom_site_fract_z
Pm1 0.0000 0.0000 0.0000
Mg1 0.0000 0.0000 0.5000
Mg2 0.0000 0.5000 0.0000
Mg3 0.0000 0.5000 0.5000
Mg4 0.2568 0.2568 0.2556
Mg5 0.5000 0.5000 0.5000
Cd1 0.5000 0.5000 0.0000
```

Entry 14:
Density functional theory data (PBE) for an optimized crystal structure of PmMg6Cd6.

Computed properties:
DOS(E_F) (states/eV/f.u.): 3.90
Energy of formation (eV/atom): -0.15

CIF file:
```
data_PmMg6Cd6
_chemical_formula_sum 'Pm2 Mg12 Cd12'
_cell_length_a 5.9150
_cell_length_b 9.9737
_cell_length_c 10.0398
_cell_angle_alpha 90.00
_cell_angle_beta 90.00
_cell_angle_gamma 90.00
_space_group_name_H-M_alt 'I m m m'
_space_group_IT_number 71
_space_group_name_Hall '-I 2 2'
loop_
_atom_site_label
_atom_site_fract_x
_atom_site_fract_y
_atom_site_fract_z
Pm1 0.0000 0.0000 0.0000
Mg1 0.0000 0.0000 0.3497
Mg2 0.0000 0.3504 0.0000
Mg3 0.0000 0.5000 0.2905
Cd1 0.0000 0.2867 0.5000
Cd2 0.2500 0.2500 0.2500
```

Entry 15:
Density functional theory data (PBE) for an optimized crystal structure of PmMgCd2.

Computed properties:
DOS(E_F) (states/eV/f.u.): 1.99
Energy of formation (eV/atom): -0.24

CIF file:
```
data_PmMgCd2
_chemical_formula_sum 'Pm1 Mg1 Cd2'
_cell_length_a 3.4490
_cell_length_b 3.4490
_cell_length_c 8.2166
_cell_angle_alpha 90.00
_cell_angle_beta 90.00
_cell_angle_gamma 90.00
_space_group_name_H-M_alt 'P 4/m m m'
_space_group_IT_number 123
_space_group_name_Hall '-P 4 2'
loop_
_atom_site_label
_atom_site_fract_x
_atom_site_fract_y
_atom_site_fract_z
Pm1 0.0000 0.0000 0.0000
Mg1 0.0000 0.0000 0.5000
Cd1 0.5000 0.5000 0.2748
```

Entry 16:
Density functional theory data (PBE) for an optimized crystal structure of PmMgCd4.

Computed properties:
DOS(E_F) (states/eV/f.u.): 3.87
Energy of formation (eV/atom): -0.14

CIF file:
```
data_PmMgCd4
_chemical_formula_sum 'Pm4 Mg4 Cd16'
_cell_length_a 8.3334
_cell_length_b 8.3334
_cell_length_c 8.3334
_cell_angle_alpha 90.00
_cell_angle_beta 90.00
_cell_angle_gamma 90.00
_space_group_name_H-M_alt 'F -4 3 m'
_space_group_IT_number 216
_space_group_name_Hall 'F -4 2 3'
loop_
_atom_site_label
_atom_site_fract_x
_atom_site_fract_y
_atom_site_fract_z
Pm1 0.0000 0.0000 0.0000
Mg1 0.2500 0.2500 0.7500
Cd1 0.1254 0.1254 0.3746
```

Entry 17:
Density functional theory data (PBE) for an optimized crystal structure of Pm2Mg2Cd3.

Computed properties:
DOS(E_F) (states/eV/f.u.): 5.78
Energy of formation (eV/atom): -0.15

CIF file:
```
data_Pm2Mg2Cd3
_chemical_formula_sum 'Pm4 Mg4 Cd6'
_cell_length_a 11.4036
_cell_length_b 5.2646
_cell_length_c 6.1075
_cell_angle_alpha 90.00
_cell_angle_beta 101.56
_cell_angle_gamma 90.00
_space_group_name_H-M_alt 'C 1 2/m 1'
_space_group_IT_number 12
_space_group_name_Hall '-C 2y'
loop_
_atom_site_label
_atom_site_fract_x
_atom_site_fract_y
_atom_site_fract_z
Pm1 0.0740 0.0000 0.2921
Mg1 0.1299 0.5000 0.6304
Cd1 0.0000 0.5000 0.0000
Cd2 0.2309 0.0000 0.8193
```

Entry 18:
Density functional theory data (PBE) for an optimized crystal structure of Pm3Mg4Cd2.

Computed properties:
DOS(E_F) (states/eV/f.u.): 5.89
Energy of formation (eV/atom): -0.20

CIF file:
```
data_Pm3Mg4Cd2
_chemical_formula_sum 'Pm6 Mg8 Cd4'
_cell_length_a 11.2332
_cell_length_b 5.1934
_cell_length_c 9.6152
_cell_angle_alpha 90.00
_cell_angle_beta 122.97
_cell_angle_gamma 90.00
_space_group_name_H-M_alt 'C 1 2/m 1'
_space_group_IT_number 12
_space_group_name_Hall '-C 2y'
loop_
_atom_site_label
_atom_site_fract_x
_atom_site_fract_y
_atom_site_fract_z
Pm1 0.0000 0.0000 0.0000
Pm2 0.1645 0.5000 0.6673
Mg1 0.0636 0.0000 0.3934
Mg2 0.2157 0.5000 0.0517
Cd1 0.1108 0.5000 0.2770
```

Entry 19:
Density functional theory data (PBE) for an optimized crystal structure of PmMg3Cd2.

Computed properties:
DOS(E_F) (states/eV/f.u.): 3.52
Energy of formation (eV/atom): -0.17

CIF file:
```
data_PmMg3Cd2
_chemical_formula_sum 'Pm4 Mg12 Cd8'
_cell_length_a 17.0623
_cell_length_b 4.8242
_cell_length_c 7.6180
_cell_angle_alpha 90.00
_cell_angle_beta 110.64
_cell_angle_gamma 90.00
_space_group_name_H-M_alt 'C 1 2/m 1'
_space_group_IT_number 12
_space_group_name_Hall '-C 2y'
loop_
_atom_site_label
_atom_site_fract_x
_atom_site_fract_y
_atom_site_fract_z
Pm1 0.1171 0.0000 0.1859
Mg1 0.0713 0.0000 0.7012
Mg2 0.1242 0.5000 0.5075
Mg3 0.1980 0.5000 0.9304
Cd1 0.0200 0.5000 0.8337
Cd2 0.2368 0.0000 0.6572
```

Entry 20:
Density functional theory data (PBE) for an optimized crystal structure of PmMgCd17.

Computed properties:
DOS(E_F) (states/eV/f.u.): 5.60
Energy of formation (eV/atom): -0.05

CIF file:
```
data_PmMgCd17
_chemical_formula_sum 'Pm3 Mg3 Cd51'
_cell_length_a 10.0213
_cell_length_b 10.0213
_cell_length_c 15.2851
_cell_angle_alpha 90.00
_cell_angle_beta 90.00
_cell_angle_gamma 120.00
_space_group_name_H-M_alt 'R 3 m'
_space_group_IT_number 160
_space_group_name_Hall 'R 3 -2"'
loop_
_atom_site_label
_atom_site_fract_x
_atom_site_fract_y
_atom_site_fract_z
Pm1 0.0000 0.0000 0.0000
Mg1 0.0000 0.0000 0.3528
Cd1 0.0000 0.0000 0.5601
Cd2 0.0000 0.0000 0.7505
Cd3 0.0312 0.3621 0.3334
Cd4 0.1813 0.3626 0.1396
Cd5 0.1900 0.3801 0.5095
Cd6 0.2131 0.4263 0.8555
```

Entry 21:
Density functional theory data (PBE) for an optimized crystal structure of Pm3Mg2Cd2.

Computed properties:
DOS(E_F) (states/eV/f.u.): 7.49
Energy of formation (eV/atom): -0.16

CIF file:
```
data_Pm3Mg2Cd2
_chemical_formula_sum 'Pm3 Mg2 Cd2'
_cell_length_a 5.1540
_cell_length_b 6.1387
_cell_length_c 6.7322
_cell_angle_alpha 92.72
_cell_angle_beta 90.16
_cell_angle_gamma 114.72
_space_group_name_H-M_alt 'P -1'
_space_group_IT_number 2
_space_group_name_Hall '-P 1'
loop_
_atom_site_label
_atom_site_fract_x
_atom_site_fract_y
_atom_site_fract_z
Pm1 0.0000 0.0000 0.0000
Pm2 0.3878 0.7766 0.2987
Mg1 0.3057 0.6094 0.8083
Cd1 0.1212 0.2429 0.4359
```

Entry 22:
Density functional theory data (PBE) for an optimized crystal structure of Pm2Mg3Cd4.

Computed properties:
DOS(E_F) (states/eV/f.u.): 3.96
Energy of formation (eV/atom): -0.25

CIF file:
```
data_Pm2Mg3Cd4
_chemical_formula_sum 'Pm4 Mg6 Cd8'
_cell_length_a 8.8532
_cell_length_b 5.1176
_cell_length_c 9.7732
_cell_angle_alpha 90.00
_cell_angle_beta 90.13
_cell_angle_gamma 90.00
_space_group_name_H-M_alt 'C 1 2/m 1'
_space_group_IT_number 12
_space_group_name_Hall '-C 2y'
loop_
_atom_site_label
_atom_site_fract_x
_atom_site_fract_y
_atom_site_fract_z
Pm1 0.1667 0.0000 0.2879
Mg1 0.0000 0.5000 0.5000
Mg2 0.1669 0.0000 0.9302
Cd1 0.9998 0.5000 0.1517
Cd2 0.1665 0.0000 0.6059
```